Below is a relaxed structure of La2MnSb, with properties calculated at the PBE level.

a = 8.3542 Å, b = 8.3542 Å, c = 8.3542 Å
α = 30.07°, β = 30.07°, γ = 30.07°
With the nearest neighbours (Å) after each atom.
Sites, in units of the cell vectors:
1 La 0.9997 0.9997 0.9997  3 Mn 3.20, 3 Sb 3.20
2 La 0.5003 0.5003 0.5003  3 Mn 3.20, 3 Sb 3.20
3 Mn 0.2500 0.2500 0.2500  6 La 3.20
4 Sb 0.7500 0.7500 0.7500  6 La 3.20

Calculated values
Formation energy from raw total energies: -205 meV/atom
Energy: -5.9913 eV per atom